A plane-wave DFT calculation with GGA-PBE was carried out for a geometry-optimized CoSiTe2 structure.

Structure (POSCAR):
```
CoSiTe2
1.0
-2.755 1.626 4.978
-4.025 -4.255 -0.838
-0.051 -5.080 5.148
Si Te Co
2 4 2
direct
0.500 0.500 0.000
0.250 0.750 0.500
0.661 0.125 0.250
0.089 0.625 0.250
0.375 0.339 0.750
0.875 0.911 0.750
0.000 0.000 0.000
0.750 0.250 0.500
```

## Properties
- space group = I-42d
- DFT total energy (eV per atom) = -4.49
- spin magnetization (μB per formula unit) = 0.6
- DOS at the Fermi energy (states/eV/cell) = 6.4

=====

A plane-wave DFT calculation with GGA-PBE was carried out for a geometry-optimized CoSiTe2 structure.

Structure (POSCAR):
```
CoSiTe2
1.0
3.695 0.000 0.000
0.000 4.233 0.001
0.000 0.647 6.411
Co Si Te
1 1 2
direct
0.000 0.480 0.632
0.500 0.782 0.613
0.000 0.934 0.884
0.500 0.304 0.371
```

## Properties
- space group = Pm
- DFT total energy (eV per atom) = -4.67
- spin magnetization (μB per formula unit) = 0.0
- DOS at the Fermi energy (states/eV/cell) = 3.0

=====

A plane-wave DFT calculation with GGA-PBE was carried out for a geometry-optimized CoSi2Te structure.

Structure (POSCAR):
```
CoSi2Te
1.0
3.796 0.000 0.000
0.000 4.224 0.006
0.000 -0.712 5.009
Co Si Te
1 2 1
direct
0.500 0.738 0.874
0.000 0.897 0.102
0.500 0.258 0.982
0.000 0.607 0.541
```

## Properties
- space group = Pm
- DFT total energy (eV per atom) = -5.21
- spin magnetization (μB per formula unit) = 0.0
- DOS at the Fermi energy (states/eV/cell) = 1.5

=====

A plane-wave DFT calculation with GGA-PBE was carried out for a geometry-optimized CoSiTe2 structure.

Structure (POSCAR):
```
CoSiTe2
1.0
3.034 -0.018 0.000
0.017 3.034 0.000
0.000 0.000 9.567
Co Si Te
1 1 2
direct
0.000 0.000 0.539
0.500 0.500 0.656
0.000 0.000 0.957
0.500 0.500 0.348
```

## Properties
- space group = P4mm
- DFT total energy (eV per atom) = -4.46
- spin magnetization (μB per formula unit) = 0.0
- DOS at the Fermi energy (states/eV/cell) = 3.4

=====

A plane-wave DFT calculation with GGA-PBE was carried out for a geometry-optimized CoSi2Te structure.

Structure (POSCAR):
```
CoSi2Te
1.0
4.007 -0.007 0.060
2.512 3.123 0.060
1.806 0.863 5.651
Co Si Te
1 2 1
direct
0.749 0.749 0.823
0.999 0.999 0.966
0.234 0.234 0.145
0.519 0.519 0.566
```

## Properties
- space group = Cm
- DFT total energy (eV per atom) = -5.20
- spin magnetization (μB per formula unit) = 0.0
- DOS at the Fermi energy (states/eV/cell) = 2.6

=====

A plane-wave DFT calculation with GGA-PBE was carried out for a geometry-optimized CoSi2Te structure.

Structure (POSCAR):
```
CoSi2Te
1.0
4.295 0.000 0.000
0.000 4.007 -0.002
0.000 0.936 3.896
Co Si Te
1 2 1
direct
0.500 0.750 0.750
0.000 0.941 0.941
0.000 0.559 0.559
0.500 0.250 0.250
```

## Properties
- space group = Cmmm
- DFT total energy (eV per atom) = -5.05
- spin magnetization (μB per formula unit) = 0.0
- DOS at the Fermi energy (states/eV/cell) = 2.6

=====

A plane-wave DFT calculation with GGA-PBE was carried out for a geometry-optimized CoSi2Te structure.

Structure (POSCAR):
```
CoSi2Te
1.0
-5.343 -2.023 1.288
-3.026 -3.844 -3.220
4.666 1.510 3.201
Co Si Te
1 2 1
direct
0.250 0.750 0.500
0.055 0.055 0.000
0.445 0.445 0.000
0.750 0.250 0.500
```

## Properties
- space group = Immm
- DFT total energy (eV per atom) = -4.87
- spin magnetization (μB per formula unit) = 0.0
- DOS at the Fermi energy (states/eV/cell) = 3.6

=====

A plane-wave DFT calculation with GGA-PBE was carried out for a geometry-optimized CoSi2Te structure.

Structure (POSCAR):
```
CoSi2Te
1.0
4.655 -0.022 0.000
0.668 4.607 0.000
-2.661 -2.293 3.055
Co Si Te
1 2 1
direct
0.750 0.250 0.500
0.000 0.000 0.000
0.250 0.750 0.500
0.500 0.500 0.000
```

## Properties
- space group = I-4m2
- DFT total energy (eV per atom) = -4.66
- spin magnetization (μB per formula unit) = 0.5
- DOS at the Fermi energy (states/eV/cell) = 3.4

=====

A plane-wave DFT calculation with GGA-PBE was carried out for a geometry-optimized CoSiTe structure.

Structure (POSCAR):
```
CoSiTe
1.0
-1.926 -2.482 5.402
5.824 -2.932 -1.852
4.402 1.310 4.239
Te Co Si
4 4 4
direct
0.870 0.249 0.489
0.871 0.251 0.987
0.761 0.749 0.380
0.263 0.751 0.379
0.083 0.988 0.528
0.722 0.488 0.167
0.484 0.012 0.905
0.345 0.512 0.766
0.366 0.228 0.616
0.634 0.728 0.884
0.388 0.272 0.094
0.156 0.772 0.862
```

## Properties
- space group = Fdd2
- DFT total energy (eV per atom) = -5.23
- spin magnetization (μB per formula unit) = 0.0
- DOS at the Fermi energy (states/eV/cell) = 7.5

=====

A plane-wave DFT calculation with GGA-PBE was carried out for a geometry-optimized CoSi2Te structure.

Structure (POSCAR):
```
CoSi2Te
1.0
5.544 0.000 0.000
0.000 5.544 0.000
2.772 2.772 5.691
Si Te Co
4 2 2
direct
0.537 0.125 0.250
0.213 0.625 0.250
0.375 0.463 0.750
0.875 0.787 0.750
0.000 0.000 0.000
0.750 0.250 0.500
0.500 0.500 0.000
0.250 0.750 0.500
```

## Properties
- space group = I-42d
- DFT total energy (eV per atom) = -5.04
- spin magnetization (μB per formula unit) = 0.0
- DOS at the Fermi energy (states/eV/cell) = 4.8

=====

A plane-wave DFT calculation with GGA-PBE was carried out for a geometry-optimized CoSiTe2 structure.

Structure (POSCAR):
```
CoSiTe2
1.0
-0.476 5.530 -3.116
-4.744 1.845 -3.822
2.282 -1.880 5.637
Co Si Te
1 1 2
direct
0.489 0.489 0.000
0.333 0.833 0.500
0.990 0.990 0.000
0.687 0.187 0.500
```

## Properties
- space group = Imm2
- DFT total energy (eV per atom) = -4.39
- spin magnetization (μB per formula unit) = 0.0
- DOS at the Fermi energy (states/eV/cell) = 2.3

=====

A plane-wave DFT calculation with GGA-PBE was carried out for a geometry-optimized CoSiTe3 structure.

Structure (POSCAR):
```
CoSiTe3
1.0
5.232 0.000 0.000
0.000 5.232 0.000
0.000 0.000 5.232
Si Te Co
1 3 1
direct
0.000 0.000 0.000
0.000 0.500 0.000
0.000 0.000 0.500
0.500 0.000 0.000
0.500 0.500 0.500
```

## Properties
- space group = Pm-3m
- DFT total energy (eV per atom) = -3.40
- spin magnetization (μB per formula unit) = 2.6
- DOS at the Fermi energy (states/eV/cell) = 6.8

=====

A plane-wave DFT calculation with GGA-PBE was carried out for a geometry-optimized CoSiTe4 structure.

Structure (POSCAR):
```
CoSiTe4
1.0
0.000 4.415 4.415
4.415 0.000 4.415
4.415 4.415 0.000
Co Si Te
1 1 4
direct
0.750 0.750 0.750
0.000 0.000 0.000
0.874 0.375 0.375
0.375 0.375 0.874
0.375 0.874 0.375
0.375 0.375 0.375
```

## Properties
- space group = F-43m
- DFT total energy (eV per atom) = -3.03
- spin magnetization (μB per formula unit) = 2.3
- DOS at the Fermi energy (states/eV/cell) = 6.6

=====

A plane-wave DFT calculation with GGA-PBE was carried out for a geometry-optimized Co4SiTe structure.

Structure (POSCAR):
```
Co4SiTe
1.0
-2.413 -2.490 -3.411
-3.830 2.010 -2.226
0.322 1.331 -4.668
Co Si Te
4 1 1
direct
0.873 0.376 0.376
0.376 0.376 0.873
0.376 0.873 0.376
0.376 0.376 0.376
0.750 0.750 0.750
0.000 0.000 0.000
```

## Properties
- space group = F-43m
- DFT total energy (eV per atom) = -5.81
- spin magnetization (μB per formula unit) = 6.0
- DOS at the Fermi energy (states/eV/cell) = 7.8

=====

A plane-wave DFT calculation with GGA-PBE was carried out for a geometry-optimized CoSi2Te structure.

Structure (POSCAR):
```
CoSi2Te
1.0
-2.450 0.332 -1.817
-0.146 -3.043 -0.361
-4.491 -0.491 5.965
Co Si Te
1 2 1
direct
0.500 0.500 0.822
0.000 0.000 0.961
0.500 0.500 0.152
0.000 0.000 0.566
```

## Properties
- space group = P4mm
- DFT total energy (eV per atom) = -5.04
- spin magnetization (μB per formula unit) = 0.0
- DOS at the Fermi energy (states/eV/cell) = 2.3

=====

A plane-wave DFT calculation with GGA-PBE was carried out for a geometry-optimized CoSi2Te structure.

Structure (POSCAR):
```
CoSi2Te
1.0
3.579 -0.254 -1.642
1.827 3.088 -1.642
-1.949 -1.022 7.469
Co Si Te
1 2 1
direct
0.750 0.750 0.750
0.165 0.165 0.854
0.335 0.335 0.646
0.250 0.250 0.250
```

## Properties
- space group = C2/m
- DFT total energy (eV per atom) = -5.31
- spin magnetization (μB per formula unit) = 0.0
- DOS at the Fermi energy (states/eV/cell) = 1.2

=====

A plane-wave DFT calculation with GGA-PBE was carried out for a geometry-optimized CoSiTe2 structure.

Structure (POSCAR):
```
CoSiTe2
1.0
-2.042 2.537 -0.712
-2.626 -2.034 0.291
-0.454 1.573 6.904
Co Si Te
1 1 2
direct
0.500 0.500 0.250
0.500 0.500 0.750
0.000 0.000 0.029
0.000 0.000 0.471
```

## Properties
- space group = P4/mmm
- DFT total energy (eV per atom) = -4.17
- spin magnetization (μB per formula unit) = 0.7
- DOS at the Fermi energy (states/eV/cell) = 3.7

=====

A plane-wave DFT calculation with GGA-PBE was carried out for a geometry-optimized CoSiTe structure.

Structure (POSCAR):
```
CoSiTe
1.0
-3.573 -0.712 -0.333
2.464 -2.566 -0.853
-0.111 -1.731 4.889
Co Si Te
1 1 1
direct
0.000 0.000 0.040
0.333 0.667 0.197
0.667 0.333 0.763
```

## Properties
- space group = P3m1
- DFT total energy (eV per atom) = -5.16
- spin magnetization (μB per formula unit) = 0.0
- DOS at the Fermi energy (states/eV/cell) = 1.5

=====

A plane-wave DFT calculation with GGA-PBE was carried out for a geometry-optimized CoSi3Te structure.

Structure (POSCAR):
```
CoSi3Te
1.0
-1.007 3.220 -2.941
-3.304 -2.533 -1.641
-2.845 1.802 2.947
Si Te Co
3 1 1
direct
0.000 0.500 0.000
0.000 0.000 0.500
0.500 0.000 0.000
0.500 0.500 0.500
0.000 0.000 0.000
```

## Properties
- space group = Pm-3m
- DFT total energy (eV per atom) = -5.12
- spin magnetization (μB per formula unit) = 0.0
- DOS at the Fermi energy (states/eV/cell) = 1.9

=====

A plane-wave DFT calculation with GGA-PBE was carried out for a geometry-optimized CoSi2Te structure.

Structure (POSCAR):
```
CoSi2Te
1.0
7.186 -0.110 -0.066
6.432 3.207 -0.066
6.432 1.462 2.855
Co Si Te
1 2 1
direct
0.750 0.750 0.750
0.024 0.024 0.024
0.476 0.476 0.476
0.250 0.250 0.250
```

## Properties
- space group = R-3m
- DFT total energy (eV per atom) = -5.05
- spin magnetization (μB per formula unit) = 0.0
- DOS at the Fermi energy (states/eV/cell) = 2.7